Entry 1:
CsReO2: relaxed, GGA-PBE.

Structure (extended XYZ):
```
4
Lattice="-1.905 0.960 6.522 -1.930 -2.521 6.084 1.091 -0.854 6.721" Properties=species:S:1:pos:R:3 pbc="T T T"
Cs 0.000 0.000 0.000
Re -1.372 -1.207 9.664
O -2.360 -2.077 16.622
O -0.384 -0.338 2.706
```

Values from the calculation:
As for the symmetry: R-3m. As for the density of states at the Fermi level: 1.91 states/eV per cell.

=====

Entry 2:
CsReO4: relaxed, GGA-PBE.

Structure (extended XYZ):
```
12
Lattice="5.413 0.000 0.000 0.000 5.433 -0.192 -2.706 -2.489 7.034" Properties=species:S:1:pos:R:3 pbc="T T T"
Cs 1.421 1.585 6.890
Cs 1.285 1.358 -0.048
Re 1.353 -1.245 3.517
Re -1.353 1.472 3.421
O 1.064 -1.189 5.317
O 3.770 1.412 1.621
O 1.642 4.132 1.525
O -1.064 1.531 5.221
O 2.733 2.862 3.603
O 0.026 2.798 3.141
O -0.026 0.082 3.240
O 2.680 0.145 3.701
```

Values from the calculation:
As for the symmetry: C2/c. As for the density of states at the Fermi level: 9.50 states/eV per cell.

=====

Entry 3:
Cs3ReO4: relaxed, GGA-PBE.

Structure (extended XYZ):
```
16
Lattice="6.414 0.000 0.000 0.000 6.805 0.000 0.000 0.000 9.545" Properties=species:S:1:pos:R:3 pbc="T T T"
Cs 3.515 5.547 0.000
Cs 0.108 4.734 2.369
Cs 3.314 2.071 2.403
Cs 0.309 1.257 4.773
Cs 3.314 2.071 7.142
Cs 0.108 4.734 7.176
Re 6.352 1.522 0.000
Re 3.145 5.282 4.773
O 0.050 6.498 0.000
O 5.214 2.974 0.000
O 0.393 1.714 1.775
O 3.599 5.091 2.998
O 2.008 3.831 4.773
O 3.257 0.307 4.773
O 3.599 5.091 6.547
O 0.393 1.714 7.770
```

Values from the calculation:
As for the symmetry: Pmn2_1. As for the density of states at the Fermi level: 0.00 states/eV per cell.

=====

Entry 4:
CsRe2SbO8: relaxed, GGA-PBE.

Structure (extended XYZ):
```
12
Lattice="-1.349 -2.877 -4.524 3.251 0.189 -4.468 5.495 -8.246 0.228" Properties=species:S:1:pos:R:3 pbc="T T T"
Cs 0.000 0.000 0.000
Re 5.435 -8.032 -6.647
Re 1.961 -2.903 -2.117
Sb 3.698 -5.467 -4.382
O 6.350 -9.414 -6.040
O 1.047 -1.520 -2.723
O 2.039 -4.212 -3.360
O 4.236 -7.470 -5.417
O 5.887 -5.594 -3.629
O 4.435 -3.390 -5.099
O 2.302 -5.295 -6.224
O 3.290 -6.843 -2.562
```

Values from the calculation:
As for the symmetry: R32. As for the density of states at the Fermi level: 4.22 states/eV per cell.

=====

Entry 5:
Cs2ScReO6: relaxed, GGA-PBE.

Structure (extended XYZ):
```
10
Lattice="5.442 0.000 0.000 0.000 6.619 0.000 0.000 -3.310 5.732" Properties=species:S:1:pos:R:3 pbc="T T T"
Cs 1.066 0.000 3.822
Cs 4.376 3.310 1.911
Sc 2.721 0.000 0.000
Re 0.000 0.000 0.000
O 4.254 0.000 1.498
O 4.254 -2.012 4.983
O 4.254 2.012 4.983
O 1.188 5.322 0.749
O 1.188 1.297 0.749
O 1.188 3.310 4.234
```

Values from the calculation:
As for the symmetry: P-3m1. As for the density of states at the Fermi level: 0.00 states/eV per cell.

=====

Entry 6:
CsReSiO6: relaxed, GGA-PBE.

Structure (extended XYZ):
```
9
Lattice="4.998 0.000 0.000 2.499 4.328 0.000 0.000 0.000 6.798" Properties=species:S:1:pos:R:3 pbc="T T T"
Cs 4.998 0.000 0.000
Re 2.499 1.443 3.399
Si 4.998 2.885 3.399
O 5.936 1.738 2.355
O 4.473 4.271 4.443
O 4.060 1.738 4.443
O 6.461 2.648 4.443
O 3.535 2.647 2.355
O 5.523 4.271 2.355
```

Values from the calculation:
As for the symmetry: P312.

=====

Entry 7:
CsSm2ReO8: relaxed, GGA-PBE.

Structure (extended XYZ):
```
12
Lattice="4.873 -0.081 0.177 -0.045 4.869 0.176 0.302 0.307 8.002" Properties=species:S:1:pos:R:3 pbc="T T T"
Cs 0.151 0.154 4.001
Sm 2.433 2.417 6.450
Sm 2.697 2.679 1.905
Re 0.000 0.000 0.000
O 0.628 3.700 1.517
O 3.810 3.786 7.901
O 3.707 0.604 1.514
O 4.502 1.395 6.837
O 1.320 1.310 0.454
O 1.423 4.492 6.841
O 3.092 3.080 4.194
O 2.037 2.015 4.160
```

Values from the calculation:
As for the symmetry: P-1.

=====

Entry 8:
CsSmReO6: relaxed, GGA-PBE.

Structure (extended XYZ):
```
9
Lattice="-4.030 1.175 4.219 -5.527 -1.936 -0.629 1.520 -5.289 2.925" Properties=species:S:1:pos:R:3 pbc="T T T"
Cs -4.011 -7.217 2.312
Sm -5.579 -3.206 3.740
Re -2.463 -2.836 2.791
O -1.709 -2.548 0.998
O -0.818 -3.266 3.614
O -3.346 -3.736 4.143
O -2.414 -4.480 1.714
O -4.176 -2.289 2.214
O -2.083 -1.084 3.241
```

Values from the calculation:
As for the symmetry: C2.

=====

Entry 9:
Cs2SrReO6: relaxed, GGA-PBE.

Structure (extended XYZ):
```
10
Lattice="-3.456 5.215 -0.586 -0.847 -1.303 -6.593 -4.420 -2.421 4.526" Properties=species:S:1:pos:R:3 pbc="T T T"
Cs -3.641 -1.426 0.750
Cs -5.082 2.918 -3.403
Sr -1.728 2.607 -0.293
Re 0.000 0.000 0.000
O -4.093 3.473 -0.160
O -6.787 1.998 2.598
O -7.303 1.204 -1.420
O -1.937 -0.506 -5.251
O -1.421 0.288 -1.234
O -4.630 -1.981 -2.493
```

Values from the calculation:
As for the symmetry: P-3m1. As for the density of states at the Fermi level: 3.57 states/eV per cell.

=====

Entry 10:
CsSrReO4: relaxed, GGA-PBE.

Structure (extended XYZ):
```
14
Lattice="-1.016 1.956 -6.276 -2.241 -5.578 -1.376 -6.708 1.774 3.734" Properties=species:S:1:pos:R:3 pbc="T T T"
Cs -8.849 -1.039 -2.102
Cs -1.116 -0.808 -1.816
Sr -5.746 -1.739 -4.321
Sr -4.218 -0.109 0.403
Re -4.275 -3.042 -1.434
Re -5.690 1.194 -2.484
O -6.572 0.596 -4.100
O -4.281 -4.655 -0.363
O -3.393 -2.444 0.182
O -5.684 2.807 -3.555
O -3.297 -3.067 -2.923
O -6.668 1.220 -0.995
O -5.887 -2.341 -1.650
O -4.077 0.493 -2.268
```

Values from the calculation:
As for the symmetry: P2_1/m. As for the density of states at the Fermi level: 2.10 states/eV per cell.

=====

Entry 11:
CsSrReO2: relaxed, GGA-PBE.

Structure (extended XYZ):
```
5
Lattice="4.135 0.000 0.000 0.000 5.771 0.000 0.000 0.000 4.135" Properties=species:S:1:pos:R:3 pbc="T T T"
Cs 2.067 2.886 2.067
Re 0.000 0.000 0.000
O 0.000 0.000 2.067
O 2.067 0.000 0.000
Sr 0.000 2.886 0.000
```

Values from the calculation:
As for the symmetry: P4/mmm. As for the density of states at the Fermi level: 2.89 states/eV per cell.

=====

Entry 12:
Cs2TbRe3O12: relaxed, GGA-PBE.

Structure (extended XYZ):
```
18
Lattice="7.676 0.179 0.127 3.946 6.586 0.127 3.946 2.297 6.174" Properties=species:S:1:pos:R:3 pbc="T T T"
Cs 9.585 5.579 3.957
Cs 5.983 3.483 2.470
Tb 0.000 0.000 0.000
Re 3.838 0.089 0.063
Re 1.973 3.293 0.063
Re 1.973 1.148 3.087
O 7.194 4.188 5.822
O 12.203 7.103 2.417
O 10.052 8.325 5.905
O 9.534 2.859 2.028
O 12.203 4.629 5.905
O 7.194 6.879 2.028
O 8.374 4.874 0.606
O 3.365 1.958 4.011
O 5.516 0.737 0.522
O 6.034 6.203 4.400
O 3.365 4.433 0.522
O 8.374 2.183 4.400
```

Values from the calculation:
As for the symmetry: R-3m. As for the density of states at the Fermi level: 5.10 states/eV per cell.

=====

Entry 13:
CsTb2ReO8: relaxed, GGA-PBE.

Structure (extended XYZ):
```
12
Lattice="-2.367 -0.108 4.294 0.227 -4.898 -0.093 6.659 -0.213 4.169" Properties=species:S:1:pos:R:3 pbc="T T T"
Cs 3.329 -0.107 2.085
Tb 4.219 -2.531 5.258
Tb 0.300 -2.687 3.112
Re 0.000 0.000 0.000
O 0.969 -3.826 1.273
O 4.908 -3.824 7.077
O -0.648 -0.837 4.010
O 3.549 -1.392 7.097
O -0.389 -1.394 1.293
O 5.167 -4.381 4.360
O 1.996 -3.158 4.627
O 2.523 -2.061 3.742
```

Values from the calculation:
As for the symmetry: C2/m.

=====

Entry 14:
Cs2ThRe3O12: relaxed, GGA-PBE.

Structure (extended XYZ):
```
18
Lattice="7.743 0.216 0.153 4.012 6.626 0.153 4.012 2.335 6.203" Properties=species:S:1:pos:R:3 pbc="T T T"
Cs 9.707 5.650 4.008
Cs 6.060 3.527 2.502
Th 0.000 0.000 0.000
Re 3.872 0.108 0.077
Re 2.006 3.313 0.077
Re 2.006 1.168 3.102
O 7.244 4.216 5.854
O 12.303 7.162 2.523
O 10.206 8.353 5.925
O 9.594 2.882 2.044
O 12.303 4.749 5.925
O 7.244 6.919 2.044
O 8.524 4.962 0.655
O 3.464 2.016 3.987
O 5.562 0.825 0.585
O 6.174 6.296 4.466
O 3.464 4.429 0.585
O 8.524 2.259 4.466
```

Values from the calculation:
As for the symmetry: R-3m. As for the density of states at the Fermi level: 8.32 states/eV per cell.

=====

Entry 15:
CsTiReO6: relaxed, GGA-PBE.

Structure (extended XYZ):
```
9
Lattice="-3.583 -0.550 -3.805 -0.088 -4.373 -2.914 -4.215 -2.832 4.378" Properties=species:S:1:pos:R:3 pbc="T T T"
Cs -3.725 -4.959 -6.663
Ti -4.391 -4.588 -2.460
Re -3.448 -3.136 0.071
O -1.502 -2.717 0.230
O -4.208 -2.136 1.393
O -4.984 -3.928 -0.513
O -2.885 -4.508 1.132
O -2.904 -3.711 -1.762
O -3.494 -1.337 -0.794
```

Values from the calculation:
As for the symmetry: P3. As for the density of states at the Fermi level: 0.00 states/eV per cell.

=====

Entry 16:
CsTi2ReO8: relaxed, GGA-PBE.

Structure (extended XYZ):
```
12
Lattice="-4.814 -2.067 -2.373 4.752 0.593 -3.185 2.377 -7.916 2.073" Properties=species:S:1:pos:R:3 pbc="T T T"
Cs 0.000 0.000 0.000
Ti -0.914 -3.548 -2.024
Ti 3.229 -5.842 -1.462
Re 1.188 -3.958 1.036
O 3.698 -7.401 -1.054
O 0.153 -3.481 -0.463
O -2.461 -4.591 -1.705
O -1.383 -1.988 -2.433
O 4.776 -4.798 -1.781
O 2.162 -5.909 -3.024
O 2.235 -5.103 -0.030
O 0.080 -4.287 -3.456
```

Values from the calculation:
As for the symmetry: P-3.

=====

Entry 17:
CsTlReO4: relaxed, GGA-PBE.

Structure (extended XYZ):
```
14
Lattice="-3.756 3.856 -1.930 -4.047 -1.778 4.323 6.409 3.605 7.482" Properties=species:S:1:pos:R:3 pbc="T T T"
Cs 1.009 1.072 8.017
Cs -2.403 4.612 1.858
Tl 0.524 5.143 9.237
Tl -1.918 0.541 0.637
Re -2.496 1.068 4.734
Re 1.102 4.615 5.140
O 0.232 5.432 6.538
O -3.344 -0.503 5.172
O -1.626 0.252 3.337
O 1.950 6.187 4.703
O -3.621 2.329 4.200
O 2.228 3.355 5.675
O -1.363 1.563 5.999
O -0.031 4.120 3.876
```

Values from the calculation:
As for the symmetry: P2_1/m. As for the density of states at the Fermi level: 1.73 states/eV per cell.

=====

Entry 18:
Cs2TlReO6: relaxed, GGA-PBE.

Structure (extended XYZ):
```
10
Lattice="5.770 0.000 0.000 0.000 6.670 0.000 0.000 -3.335 5.776" Properties=species:S:1:pos:R:3 pbc="T T T"
Cs 0.988 0.000 3.851
Cs 4.782 3.335 1.925
Tl 2.885 0.000 0.000
Re 0.000 0.000 0.000
O 4.629 0.000 1.546
O 4.629 -1.996 5.003
O 4.629 1.996 5.003
O 1.140 5.331 0.773
O 1.140 1.339 0.773
O 1.140 3.335 4.230
```

Values from the calculation:
As for the symmetry: P-3m1. As for the density of states at the Fermi level: 7.98 states/eV per cell.

=====

Entry 19:
CsTl2ReO4: relaxed, GGA-PBE.

Structure (extended XYZ):
```
8
Lattice="4.917 -0.103 0.000 -0.511 4.891 0.000 -2.203 -2.394 9.793" Properties=species:S:1:pos:R:3 pbc="T T T"
Cs 0.000 0.000 2.018
Tl 2.458 -0.052 5.623
Tl -0.255 2.446 5.623
Re 0.000 0.000 9.091
O 0.962 1.046 8.055
O 1.168 3.347 0.356
O 3.238 1.441 0.356
O -0.962 -1.046 8.055
```

Values from the calculation:
As for the symmetry: Fmm2. As for the density of states at the Fermi level: 2.05 states/eV per cell.

=====

Entry 20:
Cs2TlReO4: relaxed, GGA-PBE.

Structure (extended XYZ):
```
16
Lattice="5.963 0.000 0.000 2.981 6.623 0.000 2.981 0.000 12.363" Properties=species:S:1:pos:R:3 pbc="T T T"
Cs 2.981 0.000 8.020
Cs 5.963 0.000 4.343
Cs 7.454 3.312 10.524
Cs 7.454 3.312 1.838
Tl 7.454 3.312 6.181
Tl 0.000 0.000 0.000
Re 4.472 3.312 6.181
Re 2.981 0.000 0.000
O 5.306 5.397 1.196
O 5.306 1.226 11.166
O 9.601 5.397 11.166
O 3.638 1.226 1.196
O 5.129 4.538 4.985
O 5.129 2.085 7.377
O 9.778 4.538 7.377
O 3.815 2.085 4.985
```

Values from the calculation:
As for the symmetry: Fddd. As for the density of states at the Fermi level: 5.20 states/eV per cell.

=====

Entry 21:
CsTmRe2O8: relaxed, GGA-PBE.

Structure (extended XYZ):
```
12
Lattice="6.021 0.000 0.000 -3.011 5.215 0.000 0.000 0.000 8.433" Properties=species:S:1:pos:R:3 pbc="T T T"
Cs 0.000 0.000 0.000
Tm 0.000 0.000 4.216
Re 3.011 1.738 2.288
Re 0.000 3.476 6.145
O 0.000 3.476 7.912
O 1.530 0.893 2.895
O 4.483 0.879 2.895
O 3.011 1.738 0.521
O -1.472 4.336 5.537
O 1.480 4.321 5.537
O -0.008 1.772 5.537
O 3.019 3.443 2.895
```

Values from the calculation:
As for the symmetry: P-3. As for the density of states at the Fermi level: 6.11 states/eV per cell.

=====

It is found that the total magnetization values, taken in the order of the records, are 0.00, 0.00, 0.00, 2.05, 0.00, 0.00, 0.00, 1.07, 1.04, 0.00, 0.00, 0.88, 0.00, 2.20, 0.00, 0.00, 1.03, 0.03, 0.00, 0.00, 2.01 μB/f.u..
It is found that the DFT total energy values, taken in the order of the records, are -6.401, -7.120, -5.977, -7.241, -7.079, -7.316, -7.377, -7.286, -6.312, -6.835, -5.038, -7.683, -7.386, -7.884, -7.798, -7.984, -6.551, -5.898, -5.935, -5.769, -7.864 eV/atom.